# PBE Sn12Hg3Ge5, relaxed
data_Sn12Hg3Ge5
_chemical_formula_sum 'Sn96 Hg24 Ge40'
_cell_length_a 16.8237
_cell_length_b 16.8237
_cell_length_c 16.8237
_cell_angle_alpha 90.00
_cell_angle_beta 90.00
_cell_angle_gamma 90.00
_symmetry_space_group_name_H-M 'I a -3 d'
_symmetry_Int_Tables_number 230
_symmetry_space_group_name_Hall '-I 4bd 2c 3'
loop_
_atom_site_label
_atom_site_fract_x
_atom_site_fract_y
_atom_site_fract_z
Sn1 0.0242 0.0794 0.6513
Hg1 0.0000 0.2500 0.1250
Ge1 0.0000 0.0000 0.0000
Ge2 0.0000 0.2500 0.3750
# E_form	0.207	eV per atom
# calculated volume	29.76	Å³/atom
# total magnetization	0.000	μB per atom